ZnFeSnO4: optimized geometry, GGA+U.

It has space group Imma (No. 74), with a = 6.0822 Å, b = 6.3539 Å, c = 8.8878 Å, α = 90.00°, β = 90.00° and γ = 90.00°. The asymmetric unit holds Zn at (0.0000, 0.2500, 0.1420), Fe at (0.2500, 0.2500, 0.7500), Sn at (0.0000, 0.0000, 0.5000), O at (0.0000, 0.0137, 0.7329) and O at (0.2341, 0.2500, 0.5010).

The total DFT energy (no corrections) comes out at -0.2175 Ha/atom. The value obtained for the magnetic moment is 4.01 μB per formula unit. The calculation puts the density of states at the Fermi level at 0.01 states/eV/atom.